This record from Alexandria via LeMat-Bulk describes an optimized crystal structure of LiMnPO4. The functional is PBE with a Hubbard U.

- VASP energy: -7.10 eV per atom
- Space group: No. 5
- Energy above the lowest structure with this stoichiometry: 0.080 eV/atom

Lattice parameters (Å, degrees): 4.9112 5.4122 6.5012 89.93 90.00 116.98
Last column: nearest neighbours and their distance in Å.
Positions (direct):
O1 0.0571 0.7193 0.2498  1 P 1.57
O2 0.5066 0.7334 0.4469  1 P 1.54
O3 0.7733 0.2667 0.5531  1 P 1.54
O4 0.8973 0.7012 0.7499  1 P 1.60
O5 0.5054 0.7327 0.0512  1 P 1.54
O6 0.1962 0.2988 0.2501  1 P 1.60
O7 0.7728 0.2674 0.9488  1 P 1.54
O8 0.3378 0.2807 0.7502  1 P 1.57
Li1 0.3327 0.6482 0.7490  3 O 2.00-2.11
Li2 0.6843 0.3517 0.2510  3 O 2.00-2.11
Mn1 0.9901 0.0000 0.5000  6 O 2.18-2.35
Mn2 0.9897 0.0000 0.0000  6 O 2.18-2.35
P1 0.6908 0.3730 0.7506  4 O 1.54-1.60
P2 0.3178 0.6270 0.2494  4 O 1.54-1.60